1.
# Er4Si2H

A relaxed structure of Er4Si2H (PBE, Alexandria).

It has space group P2_1/m (No. 11), with a = 6.0365 Å, b = 6.3369 Å, c = 8.3529 Å, α = 90.00°, β = 109.88° and γ = 90.00°. Symmetry generates all atoms from Er at (0.0153, 0.0001, 0.2661), Er at (0.4028, 0.2500, 0.0889), Er at (0.4286, 0.2500, 0.6205), Si at (0.2044, 0.7500, 0.0444), Si at (0.2565, 0.7500, 0.5707) and H at (0.2466, 0.2500, 0.8098).

Its crystal system is monoclinic. The value obtained for the total energy is -73.13 eV/cell. The value obtained for the spin magnetization is 0.0 μB/f.u. For the calculated density, the calculation gives 8.03 g/cm³.

2.
# Er6Si3H

A relaxed structure of Er6Si3H (PBE, Alexandria).

It has space group Cmc2_1 (No. 36), with a = 10.9401 Å, b = 13.6287 Å, c = 6.6024 Å, α = 90.00°, β = 90.00° and γ = 90.00°. Symmetry generates all atoms from Er at (0.0000, 0.0471, 0.0000), Er at (0.0000, 0.2274, 0.4678), Er at (0.1642, 0.2690, 0.9717), Er at (0.1650, 0.4709, 0.4609), Si at (0.0000, 0.3895, 0.7499), Si at (0.1687, 0.1091, 0.6845) and H at (0.0000, 0.2011, 0.1180).

Its crystal system is orthorhombic. The value obtained for the total energy is -205.94 eV/cell. The value obtained for the spin magnetization is 0.0 μB/f.u. For the calculated density, the calculation gives 7.35 g/cm³.

3.
# Er2SiH

A relaxed structure of Er2SiH (PBE, Alexandria).

It has space group R-3m (No. 166, hexagonal axes), with a = 4.3064 Å, b = 4.3064 Å, c = 20.5168 Å, α = 90.00°, β = 90.00° and γ = 120.00°. Symmetry generates all atoms from Er at (0.0000, 0.0000, 0.1020), Si at (0.0000, 0.0000, 0.5000) and H at (0.0000, 0.0000, 0.0000).

Its crystal system is trigonal. The value obtained for the total energy is -57.09 eV/cell. The value obtained for the spin magnetization is 0.0 μB/f.u. For the calculated density, the calculation gives 5.50 g/cm³.

4.
# Er3Si2H

A relaxed structure of Er3Si2H (PBE, Alexandria).

It has space group C2/c (No. 15), with a = 12.5234 Å, b = 5.6434 Å, c = 7.8682 Å, α = 90.00°, β = 108.27° and γ = 90.00°. Symmetry generates all atoms from Er at (0.0000, 0.0286, 0.2500), Er at (0.1653, 0.4976, 0.5832), Si at (0.1646, 0.0032, 0.0819) and H at (0.0000, 0.4590, 0.2500).

Its crystal system is monoclinic. The value obtained for the total energy is -123.09 eV/cell. The value obtained for the spin magnetization is 0.0 μB/f.u. For the calculated density, the calculation gives 7.03 g/cm³.

5.
# Er2SiH

A relaxed structure of Er2SiH (PBE, Alexandria).

It has space group P2/c (No. 13), with a = 5.5512 Å, b = 5.5551 Å, c = 11.8877 Å, α = 90.00°, β = 116.46° and γ = 90.00°. Symmetry generates all atoms from Er at (0.1090, 0.2300, 0.1166), Er at (0.3435, 0.2342, 0.8671), Si at (0.3825, 0.2642, 0.3749) and H at (0.0699, 0.1904, 0.6237).

Its crystal system is monoclinic. The value obtained for the total energy is -78.37 eV/cell. The value obtained for the spin magnetization is 0.0 μB/f.u. For the calculated density, the calculation gives 7.36 g/cm³.

6.
# Er12Si3H5

A relaxed structure of Er12Si3H5 (PBE, Alexandria).

It has space group Ia-3d (No. 230), with a = 14.9653 Å, b = 14.9653 Å, c = 14.9653 Å, α = 90.00°, β = 90.00° and γ = 90.00°. Symmetry generates all atoms from Er at (0.0372, 0.0593, 0.6538), Si at (0.0000, 0.2500, 0.1250), H at (0.0000, 0.0000, 0.0000) and H at (0.0000, 0.2500, 0.3750).

Its crystal system is cubic. The value obtained for the total energy is -759.97 eV/cell. The value obtained for the spin magnetization is 0.0 μB/f.u. For the calculated density, the calculation gives 8.31 g/cm³.

7.
# Er4Si2H

A relaxed structure of Er4Si2H (PBE, Alexandria).

It has space group I4/mmm (No. 139), with a = 4.3483 Å, b = 4.3483 Å, c = 15.5945 Å, α = 90.00°, β = 90.00° and γ = 90.00°. Symmetry generates all atoms from Er at (0.0000, 0.0000, 0.1808), Er at (0.0000, 0.5000, 0.0000), Si at (0.0000, 0.0000, 0.3660) and H at (0.0000, 0.0000, 0.0000).

Its crystal system is tetragonal. The value obtained for the total energy is -72.66 eV/cell. The value obtained for the spin magnetization is 0.3 μB/f.u. For the calculated density, the calculation gives 8.18 g/cm³.

8.
# Er2Si2Tc2H

A relaxed structure of Er2Si2Tc2H (PBE, Alexandria).

It has space group I4/mmm (No. 139), with a = 4.0704 Å, b = 4.0704 Å, c = 13.9390 Å, α = 90.00°, β = 90.00° and γ = 90.00°. Symmetry generates all atoms from Er at (0.0000, 0.0000, 0.1625), Si at (0.0000, 0.0000, 0.3884), Tc at (0.0000, 0.5000, 0.0000) and H at (0.0000, 0.0000, 0.0000).

Its crystal system is tetragonal. The value obtained for the total energy is -96.69 eV/cell. The value obtained for the spin magnetization is 0.0 μB/f.u. For the calculated density, the calculation gives 8.45 g/cm³.

9.
# SmErH

A relaxed structure of SmErH (PBE, Alexandria).

It has space group Pmm2 (No. 25), with a = 3.6115 Å, b = 7.2661 Å, c = 5.0551 Å, α = 90.00°, β = 90.00° and γ = 90.00°. Symmetry generates all atoms from Sm at (0.0000, 0.2482, 0.0000), Er at (0.5000, 0.0000, 0.5149), Er at (0.5000, 0.5000, 0.5086), H at (0.0000, 0.5000, 0.7426) and H at (0.5000, 0.0000, 0.0199).

Its crystal system is orthorhombic. The value obtained for the total energy is -26.71 eV/cell. The value obtained for the spin magnetization is 0.2 μB/f.u. For the calculated density, the calculation gives 7.98 g/cm³.

10.
# SmErH

A relaxed structure of SmErH (PBE, Alexandria).

It has space group I4mm (No. 107), with a = 3.3931 Å, b = 3.3931 Å, c = 12.0825 Å, α = 90.00°, β = 90.00° and γ = 90.00°. Symmetry generates all atoms from Sm at (0.0000, 0.0000, 0.0000), Er at (0.0000, 0.0000, 0.2904) and H at (0.0000, 0.0000, 0.4726).

Its crystal system is tetragonal. The value obtained for the total energy is -25.98 eV/cell. The value obtained for the spin magnetization is 0.0 μB/f.u. For the calculated density, the calculation gives 7.61 g/cm³.

11.
# SmEr3H8

A relaxed structure of SmEr3H8 (PBE, Alexandria).

It has space group Pm-3m (No. 221), with a = 5.1687 Å, b = 5.1687 Å, c = 5.1687 Å, α = 90.00°, β = 90.00° and γ = 90.00°. Symmetry generates all atoms from Sm at (0.0000, 0.0000, 0.0000), Er at (0.0000, 0.5000, 0.5000) and H at (0.2567, 0.2567, 0.2567).

Its crystal system is cubic. The value obtained for the total energy is -53.73 eV/cell. The value obtained for the spin magnetization is 0.0 μB/f.u. For the calculated density, the calculation gives 7.94 g/cm³.

12.
# SmErH4

A relaxed structure of SmErH4 (PBE, Alexandria).

It has space group I4_1/amd (No. 141, origin choice 2), with a = 5.2300 Å, b = 5.2300 Å, c = 10.5123 Å, α = 90.00°, β = 90.00° and γ = 90.00°. Symmetry generates all atoms from Sm at (0.0000, 0.2500, 0.3750), Er at (0.0000, 0.2500, 0.8750) and H at (0.2377, 0.0000, 0.0000).

Its crystal system is tetragonal. The value obtained for the total energy is -107.20 eV/cell. The value obtained for the spin magnetization is 0.0 μB/f.u. For the calculated density, the calculation gives 7.43 g/cm³.

13.
# Sm2ErH

A relaxed structure of Sm2ErH (PBE, Alexandria).

It has space group P4/mmm (No. 123), with a = 3.3975 Å, b = 3.3975 Å, c = 8.5100 Å, α = 90.00°, β = 90.00° and γ = 90.00°. Symmetry generates all atoms from Sm at (0.0000, 0.0000, 0.1924), Er at (0.5000, 0.5000, 0.5000) and H at (0.5000, 0.5000, 0.0000).

Its crystal system is tetragonal. The value obtained for the total energy is -16.99 eV/cell. The value obtained for the spin magnetization is 0.0 μB/f.u. For the calculated density, the calculation gives 7.93 g/cm³.

14.
# Sm3Er5H12

A relaxed structure of Sm3Er5H12 (PBE, Alexandria).

It has space group Ia-3d (No. 230), with a = 13.1010 Å, b = 13.1010 Å, c = 13.1010 Å, α = 90.00°, β = 90.00° and γ = 90.00°. Symmetry generates all atoms from Sm at (0.0000, 0.2500, 0.1250), Er at (0.0000, 0.0000, 0.0000), Er at (0.0000, 0.2500, 0.3750) and H at (0.0064, 0.0666, 0.6536).

Its crystal system is cubic. The value obtained for the total energy is -691.74 eV/cell. The value obtained for the spin magnetization is 0.0 μB/f.u. For the calculated density, the calculation gives 7.68 g/cm³.

15.
# SmEr2H

A relaxed structure of SmEr2H (PBE, Alexandria).

It has space group R-3m (No. 166, hexagonal axes), with a = 3.5804 Å, b = 3.5804 Å, c = 25.4443 Å, α = 90.00°, β = 90.00° and γ = 120.00°. Symmetry generates all atoms from Sm at (0.0000, 0.0000, 0.0000), Er at (0.0000, 0.0000, 0.2200) and H at (0.0000, 0.0000, 0.5000).

Its crystal system is trigonal. The value obtained for the total energy is -53.91 eV/cell. The value obtained for the spin magnetization is 0.0 μB/f.u. For the calculated density, the calculation gives 8.57 g/cm³.

16.
# SmErH

A relaxed structure of SmErH (PBE, Alexandria).

It has space group P3m1 (No. 156), with a = 3.6361 Å, b = 3.6361 Å, c = 5.6496 Å, α = 90.00°, β = 90.00° and γ = 120.00°. Symmetry generates all atoms from Sm at (0.0000, 0.0000, 0.0000), Er at (0.3333, 0.6667, 0.4866) and H at (0.6667, 0.3333, 0.2548).

Its crystal system is trigonal. The value obtained for the total energy is -13.31 eV/cell. The value obtained for the spin magnetization is 0.0 μB/f.u. For the calculated density, the calculation gives 8.18 g/cm³.

17.
# SmEr2H

A relaxed structure of SmEr2H (PBE, Alexandria).

It has space group P4/mmm (No. 123), with a = 3.3443 Å, b = 3.3443 Å, c = 8.4855 Å, α = 90.00°, β = 90.00° and γ = 90.00°. Symmetry generates all atoms from Sm at (0.0000, 0.0000, 0.0000), Er at (0.5000, 0.5000, 0.3100) and H at (0.0000, 0.0000, 0.5000).

Its crystal system is tetragonal. The value obtained for the total energy is -16.64 eV/cell. The value obtained for the spin magnetization is 0.0 μB/f.u. For the calculated density, the calculation gives 8.50 g/cm³.